Here is a relaxed structure of PbWO3 from Alexandria via LeMat-Bulk. Energies are from PBE+U.

Computed properties:
The value obtained for the density of states at the Fermi level is 4.62 states/eV/cell. The calculation puts the calculated density at 9.77 Mg/m³. The total energy comes out at -5.00 eV per atom.

Cell lengths 4.210, 4.210, 4.210 Å; angles 90.00, 90.00, 90.00 degrees
Each line ends with the local moment (μB).
Fractional coordinates of all 5 atoms:
Pb 0.000 0.000 0.000  0.00
O 0.000 0.500 0.000  -0.08
O 0.000 0.000 0.500  -0.04
O 0.500 0.000 0.000  -0.04
W 0.500 0.500 0.500  3.45